Tb2Ga4Co3Cu | Alexandria | GGA-PBE | optimized geometry; total moment = 0.0350 μB per atom; space-group type = No. 115; ΔE_f = -37.44 kJ per mole of atoms
1.0
4.057 0.000 0.000
0.000 4.057 0.000
0.000 0.000 10.048
Co Ga Cu Tb
3 4 1 2
direct
0.000 0.000 0.500
0.000 0.500 0.133
0.500 0.000 0.867
0.500 0.500 0.000
0.000 0.500 0.368
0.500 0.000 0.632
0.000 0.000 0.000
0.500 0.500 0.500
0.500 0.000 0.248
0.000 0.500 0.752

***

Pr2PuCu | Alexandria | GGA-PBE | optimized geometry; excess energy over the best structure of this formula in the dataset = 291 meV/atom; total moment = 1.6119 μB per atom; space-group type = No. 166; ΔE_f = 34.16 kJ per mole of atoms
1.0
-1.358 0.900 3.092
1.105 -1.574 2.918
7.871 7.612 3.219
Cu Pu Pr
1 1 2
direct
0.500 0.500 0.500
0.000 0.000 0.000
0.899 0.899 0.303
0.101 0.101 0.697

***

LiTaRh3 | Alexandria | GGA-PBE | optimized geometry; excess energy over the best structure of this formula in the dataset = 0 meV/atom; total moment = 0.0000 μB per atom; space-group type = No. 221; ΔE_f = 12.88 kJ per mole of atoms
1.0
4.116 0.000 0.000
0.000 4.116 0.000
0.000 0.000 4.116
Rh Li Ta
3 1 1
direct
0.500 0.000 0.000
0.000 0.500 0.000
0.000 0.000 0.500
0.000 0.000 0.000
0.500 0.500 0.500

***

LaMgAs2 | Alexandria | GGA-PBE | optimized geometry; total moment = 0.0000 μB per atom; space-group type = No. 65; ΔE_f = -76.28 kJ per mole of atoms
1.0
-3.733 -2.165 -2.185
2.373 0.257 -4.207
1.635 -3.531 0.707
As La Mg
2 1 1
direct
0.000 0.000 0.000
0.500 0.500 0.000
0.500 0.000 0.500
0.000 0.500 0.500

***

HfTi2Sn | Alexandria | GGA-PBE | optimized geometry; total moment = 0.0001 μB per atom; space-group type = No. 10; ΔE_f = -8.67 kJ per mole of atoms
1.0
-0.206 -2.959 -3.816
1.114 -2.257 1.690
-5.227 -0.978 1.040
Hf Ti Sn
1 2 1
direct
0.500 0.000 0.500
0.000 0.731 0.731
0.000 0.269 0.269
0.500 0.500 0.000

***

CuGeAu14 | Alexandria | GGA-PBE | optimized geometry; total moment = 0.0000 μB per atom; space-group type = No. 38; ΔE_f = 3.11 kJ per mole of atoms
1.0
-0.230 -2.427 5.168
-2.572 -3.044 -4.096
8.240 -4.569 -1.780
Cu Au Ge
1 14 1
direct
0.057 0.943 0.500
0.192 0.808 0.000
0.875 0.125 0.744
0.192 0.304 0.000
0.066 0.443 0.500
0.373 0.627 0.753
0.373 0.627 0.247
0.875 0.125 0.256
0.696 0.808 0.000
0.873 0.630 0.739
0.873 0.630 0.261
0.370 0.127 0.739
0.557 0.934 0.500
0.370 0.127 0.261
0.693 0.307 0.000
0.563 0.437 0.500

***

La2Ni2Pb | Alexandria | GGA-PBE | optimized geometry; total moment = 0.0000 μB per atom; space-group type = No. 139; ΔE_f = -28.04 kJ per mole of atoms
1.0
-1.879 1.062 2.956
-3.042 -1.475 -1.404
-0.503 -8.143 4.873
La Pb Ni
2 1 2
direct
0.632 0.632 0.735
0.368 0.368 0.265
0.000 0.000 0.000
0.750 0.250 0.500
0.250 0.750 0.500

***

SmZr4Zn5 | Alexandria | GGA-PBE | optimized geometry; total moment = 0.0000 μB per atom; space-group type = No. 123; ΔE_f = -25.75 kJ per mole of atoms
1.0
3.398 0.000 0.000
0.000 3.398 0.000
0.000 0.000 16.998
Zn Sm Zr
5 1 4
direct
0.500 0.500 0.693
0.500 0.500 0.307
0.500 0.500 0.118
0.500 0.500 0.882
0.500 0.500 0.500
0.000 0.000 0.000
0.000 0.000 0.790
0.000 0.000 0.210
0.000 0.000 0.597
0.000 0.000 0.403

***

Sm4GeSe2Br | Alexandria | GGA-PBE | optimized geometry; total moment = 0.0000 μB per atom; uncorrected energy = -43.875 eV/cell; space-group type = No. 10
1.0
4.205 0.000 0.000
0.000 7.238 -0.139
0.000 2.556 6.957
Se Sm Br Ge
2 4 1 1
direct
0.000 0.000 0.000
0.500 0.000 0.500
0.000 0.764 0.722
0.500 0.253 0.730
0.000 0.236 0.278
0.500 0.747 0.270
0.500 0.500 0.000
0.000 0.500 0.500

***

U2ReBi | Alexandria | GGA-PBE | optimized geometry; excess energy over the best structure of this formula in the dataset = 0 meV/atom; total moment = 0.1481 μB per atom; space-group type = No. 123; ΔE_f = 21.72 kJ per mole of atoms
1.0
-3.580 -0.673 1.069
-1.057 -0.164 -3.643
1.144 -6.178 -0.054
U Bi Re
2 1 1
direct
0.000 0.000 0.803
0.000 0.000 0.197
0.500 0.500 0.500
0.500 0.500 0.000

***

KCu2IrCl8 | Alexandria | GGA-PBE | optimized geometry; total moment = 0.1735 μB per atom; uncorrected energy = -41.612 eV/cell; space-group type = No. 2
1.0
6.043 -0.261 0.248
-0.315 6.646 1.626
0.266 2.268 8.628
Cl Cu Ir K
8 2 1 1
direct
0.665 0.771 0.052
0.507 0.717 0.543
0.493 0.283 0.457
0.105 0.741 0.267
0.335 0.229 0.948
0.837 0.188 0.129
0.895 0.259 0.733
0.163 0.812 0.871
0.483 0.669 0.310
0.517 0.331 0.690
0.000 0.000 0.000
0.000 0.000 0.500

***

RbNa8Pb2 | Alexandria | GGA-PBE | optimized geometry; total moment = 0.0000 μB per atom; space-group type = No. 12; ΔE_f = -3.52 kJ per mole of atoms
1.0
6.238 0.797 0.000
1.277 10.236 0.000
0.639 5.118 7.125
Na Pb Rb
8 2 1
direct
0.267 0.420 0.000
0.500 0.727 0.547
0.085 0.925 0.722
0.085 0.647 0.278
0.733 0.580 0.000
0.915 0.075 0.278
0.500 0.273 0.453
0.915 0.353 0.722
0.000 0.305 0.389
0.000 0.695 0.611
0.500 0.000 0.000

***

CaInGe2 | Alexandria | GGA-PBE | optimized geometry; total moment = 0.0000 μB per atom; space-group type = No. 123; ΔE_f = -25.13 kJ per mole of atoms
1.0
-0.848 3.843 -1.464
-2.608 -1.849 -3.344
-3.705 0.234 2.761
Ge Ca In
2 1 1
direct
0.000 0.000 0.500
0.000 0.500 0.000
0.500 0.500 0.500
0.500 0.000 0.000

***

DyGaRh | Alexandria | GGA-PBE | optimized geometry; total moment = 0.0000 μB per atom; space-group type = No. 107; ΔE_f = -66.77 kJ per mole of atoms
1.0
3.325 0.000 0.000
0.000 3.325 0.000
-1.663 -1.663 5.128
Rh Dy Ga
1 1 1
direct
0.928 0.928 0.857
0.609 0.609 0.219
0.312 0.312 0.625

***

CaPbCl | Alexandria | GGA-PBE | optimized geometry; excess energy over the best structure of this formula in the dataset = 781 meV/atom; total moment = 0.6402 μB per atom; space-group type = No. 216
1.0
-3.253 -1.585 3.864
1.783 -3.218 3.807
0.650 1.831 4.924
Cl Pb Ca
1 1 1
direct
0.000 0.000 0.000
0.500 0.500 0.500
0.750 0.750 0.750

***

Li4Sc9Cd11 | Alexandria | GGA-PBE | optimized geometry; total moment = 0.0483 μB per atom; space-group type = No. 65; ΔE_f = -20.69 kJ per mole of atoms
1.0
-2.894 1.404 0.480
-5.611 -11.445 -0.352
3.231 2.534 12.072
Sc Cd Li
9 11 4
direct
0.500 0.500 0.500
0.500 0.781 0.935
0.500 0.219 0.065
0.500 0.935 0.781
0.500 0.065 0.219
0.500 0.140 0.642
0.500 0.358 0.860
0.500 0.642 0.140
0.500 0.860 0.358
0.000 0.643 0.357
0.000 0.575 0.925
0.000 0.925 0.575
0.000 0.075 0.425
0.000 0.000 0.000
0.000 0.849 0.151
0.000 0.295 0.295
0.000 0.357 0.643
0.000 0.425 0.075
0.000 0.151 0.849
0.000 0.705 0.705
0.500 0.458 0.259
0.500 0.542 0.741
0.500 0.259 0.458
0.500 0.741 0.542

***

Li7Tl2Hg2 | Alexandria | GGA-PBE | optimized geometry; total moment = 0.0000 μB per atom; space-group type = No. 44; ΔE_f = -24.50 kJ per mole of atoms
1.0
-3.717 -1.700 -1.610
3.947 -4.965 -3.870
-0.403 -0.895 7.870
Tl Li Hg
2 7 2
direct
0.000 0.652 0.000
0.500 0.329 0.000
0.161 0.061 0.323
0.839 0.739 0.677
0.347 0.473 0.694
0.149 0.483 0.297
0.851 0.186 0.703
0.653 0.779 0.306
0.500 0.941 0.000
0.294 0.900 0.588
0.706 0.311 0.412

***

PmTcB | Alexandria | GGA-PBE | optimized geometry; excess energy over the best structure of this formula in the dataset = 94 meV/atom; total moment = 0.0559 μB per atom; space-group type = No. 12; ΔE_f = -4.13 kJ per mole of atoms
1.0
-3.173 2.103 1.088
-1.994 -1.086 3.243
3.411 5.569 6.376
Tc Pm B
2 2 2
direct
0.156 0.156 0.041
0.844 0.844 0.959
0.265 0.265 0.697
0.735 0.735 0.303
0.528 0.528 0.897
0.472 0.472 0.103

***

Sm2Y5Sc | Alexandria | GGA-PBE | optimized geometry; excess energy over the best structure of this formula in the dataset = 0 meV/atom; total moment = 0.0000 μB per atom; space-group type = No. 1; ΔE_f = 6.23 kJ per mole of atoms
1.0
-8.722 -4.261 -5.541
-1.688 -1.197 13.511
-7.978 -0.174 6.213
Sc Y Sm
2 10 4
direct
0.032 0.684 0.001
0.780 0.129 0.123
0.550 0.323 0.722
0.645 0.349 0.023
0.454 0.300 0.438
0.208 0.733 0.579
0.116 0.996 0.438
0.602 0.079 0.546
0.262 0.488 0.404
0.942 0.905 0.230
0.870 0.905 0.900
0.169 0.463 0.101
0.701 0.109 0.828
0.696 0.820 0.687
0.113 0.705 0.294
0.358 0.512 0.686

***

ScFe2Ag | Alexandria | GGA-PBE | optimized geometry; total moment = 1.2512 μB per atom; space-group type = No. 166; ΔE_f = 36.54 kJ per mole of atoms
1.0
-6.353 -1.846 -6.269
-6.817 -4.064 -4.482
-8.064 -1.512 -3.969
Fe Sc Ag
2 1 1
direct
0.000 0.000 0.000
0.500 0.500 0.500
0.250 0.250 0.250
0.750 0.750 0.750